Compound: K2YSb
Source: Alexandria via LeMat-Bulk
Functional: PBEsol
Structure: relaxed

a b c (Å): 4.6395 4.6395 6.1512
angles (deg): 90.00 90.00 90.00
Space group P4/mmm (No. 123)
Asymmetric unit:
K  0.0000  0.5000  0.0000 [2 per cell]
Y  0.0000  0.0000  0.5000 [1 per cell]
Sb  0.5000  0.5000  0.5000 [1 per cell]

## Properties
Raw formation energy: -180 meV per atom
M_tot: 0.0000 μB per atom